Record 1
! PaGaAs2O8 (GGA-PBE, relaxed); values from VASP
! Calculated total energy   -6.8787 eV/atom
! V   168.2 Å³/cell
! Formation energy from raw total energies   -40.5 kcal/mol of atoms
! Space-group type   I-4m2, No. 119
&SYSTEM
  ibrav = 0, nat = 12, ntyp = 4
/
ATOMIC_SPECIES
O 16.00 O.upf
Pa 231.04 Pa.upf
Ga 69.72 Ga.upf
As 74.92 As.upf
CELL_PARAMETERS angstrom
-3.561 3.522 3.383
-0.685 -5.958 0.746
5.680 1.271 1.625
ATOMIC_POSITIONS crystal
O 0.786 0.092 0.694
Pa 0.000 0.000 0.000
O 0.908 0.602 0.694
O 0.908 0.214 0.306
O 0.506 0.683 0.823
Ga 0.250 0.750 0.500
O 0.317 0.140 0.823
O 0.398 0.092 0.306
As 0.500 0.500 0.000
O 0.860 0.683 0.177
O 0.317 0.494 0.177
As 0.750 0.250 0.500

=====

Record 2
! Nd7Er2Mg2 (GGA-PBE, relaxed); values from VASP
! Energy of formation from the pure elements   0.133 eV per atom
! Calculated total energy   -4.0208 eV/atom
! V   362.4 Å³/cell
! Space-group type   C2/m, No. 12
&SYSTEM
  ibrav = 0, nat = 11, ntyp = 3
/
ATOMIC_SPECIES
Er 167.26 Er.upf
Nd 144.24 Nd.upf
Mg 24.30 Mg.upf
CELL_PARAMETERS angstrom
-5.216 2.421 -1.157
-4.121 -5.558 -4.345
-4.880 -2.162 6.185
ATOMIC_POSITIONS crystal
Er 0.500 0.780 0.220
Nd 0.813 0.401 0.986
Mg 0.220 0.559 0.559
Nd 0.813 0.986 0.401
Nd 0.000 0.000 0.000
Nd 0.337 0.233 0.233
Nd 0.187 0.014 0.599
Nd 0.663 0.767 0.767
Er 0.500 0.220 0.780
Mg 0.780 0.441 0.441
Nd 0.187 0.599 0.014

=====

Record 3
! Tl2InTeS4 (GGA-PBE, relaxed); values from VASP
! Calculated total energy   -3.6399 eV/atom
! V   413.7 Å³/cell
! Formation energy from raw total energies   -5.8 kcal/mol of atoms
! Space-group type   C2/c, No. 15
&SYSTEM
  ibrav = 0, nat = 16, ntyp = 4
/
ATOMIC_SPECIES
In 114.82 In.upf
S 32.06 S.upf
Tl 204.38 Tl.upf
Te 127.60 Te.upf
CELL_PARAMETERS angstrom
8.147 0.023 0.286
0.017 8.147 0.286
-3.787 -3.789 5.968
ATOMIC_POSITIONS crystal
In 0.000 0.500 0.000
S 0.742 0.707 0.486
S 0.810 0.281 0.064
S 0.207 0.242 0.986
S 0.190 0.719 0.936
Tl 0.500 0.500 0.000
Tl 0.000 0.000 0.500
Tl 0.500 0.000 0.500
S 0.219 0.690 0.436
Tl 0.500 0.000 0.000
S 0.781 0.310 0.564
Te 0.000 0.000 0.000
S 0.258 0.293 0.514
In 0.000 0.500 0.500
Te 0.500 0.500 0.500
S 0.793 0.758 0.014

=====

Record 4
! K2TeOs (GGA-PBE, relaxed); values from VASP
! Calculated total energy   -3.7348 eV/atom
! V   131.6 Å³/cell
! Formation energy from raw total energies   9.4 kcal/mol of atoms
! Space-group type   P4mm, No. 99
&SYSTEM
  ibrav = 0, nat = 4, ntyp = 3
/
ATOMIC_SPECIES
K 39.10 K.upf
Os 190.23 Os.upf
Te 127.60 Te.upf
CELL_PARAMETERS angstrom
3.576 0.000 0.000
0.000 3.576 0.000
0.000 0.000 10.290
ATOMIC_POSITIONS crystal
K 0.000 0.000 0.925
K 0.500 0.500 0.329
Os 0.000 0.000 0.577
Te 0.500 0.500 0.670

=====

Record 5
! TcTePb2F (GGA-PBE, relaxed); values from VASP
! Calculated total energy   -4.7316 eV/atom
! V   146.5 Å³/cell
! Formation energy from raw total energies   -4.0 kcal/mol of atoms
! Space-group type   P4/mmm, No. 123
&SYSTEM
  ibrav = 0, nat = 5, ntyp = 4
/
ATOMIC_SPECIES
Te 127.60 Te.upf
Tc 98.00 Tc.upf
F 19.00 F.upf
Pb 207.20 Pb.upf
CELL_PARAMETERS angstrom
-0.197 -3.328 4.222
-0.730 -3.919 -3.122
5.320 -0.730 -0.327
ATOMIC_POSITIONS crystal
Te 0.000 0.500 0.000
Tc 0.000 0.000 0.000
F 0.500 0.500 0.500
Pb 0.000 0.000 0.500
Pb 0.500 0.000 0.000

=====

Record 6
! NaPa2CuS6 (GGA-PBE, relaxed); values from VASP
! Calculated total energy   -6.1934 eV/atom
! V   263.1 Å³/cell
! Formation energy from raw total energies   -29.4 kcal/mol of atoms
! Space-group type   P1, No. 1
&SYSTEM
  ibrav = 0, nat = 10, ntyp = 4
/
ATOMIC_SPECIES
S 32.06 S.upf
Na 22.99 Na.upf
Pa 231.04 Pa.upf
Cu 63.55 Cu.upf
CELL_PARAMETERS angstrom
-4.557 1.787 -5.217
-1.153 -4.369 -5.309
-6.601 -3.394 -0.531
ATOMIC_POSITIONS crystal
S 0.651 0.259 0.259
S 0.728 0.176 0.757
S 0.877 0.649 0.260
Na 0.786 0.817 0.612
Pa 0.992 0.020 0.996
S 0.250 0.877 0.231
Cu 0.379 0.153 0.947
S 0.345 0.794 0.725
Pa 0.507 0.533 0.482
S 0.146 0.384 0.747